(1)
A relaxed structure of BaMnBr, computed with PBE.

Calculated values
VASP energy = -4.2254 eV/atom
energy relative to the elements, uncorrected = 0.030 eV per atom
energy above the lowest structure with this stoichiometry = 228 meV/atom
magnetic moment = 4.04 μB/cell

abc: 5.5753 5.5753 5.5753
angles: 60.00 60.00 60.00
With the nearest neighbours (Å) after each atom.
Fractional coordinates of all 3 atoms:
Mn (0.5000, 0.5000, 0.5000)  4 Ba 3.41
Ba (0.2500, 0.2500, 0.2500)  4 Br 3.41, 4 Mn 3.41
Br (0.0000, 0.0000, 0.0000)  4 Ba 3.41

=====

(2)
A relaxed structure of BaMnBr, computed with PBE.

Calculated values
VASP energy = -4.3328 eV/atom
energy relative to the elements, uncorrected = -0.078 eV per atom
energy above the lowest structure with this stoichiometry = 121 meV/atom
magnetic moment = 3.99 μB/cell

abc: 5.4486 5.4486 5.4486
angles: 60.00 60.00 60.00
With the nearest neighbours (Å) after each atom.
Fractional coordinates of all 3 atoms:
Br (0.2500, 0.2500, 0.2500)  4 Ba 3.34, 4 Mn 3.34
Mn (0.0000, 0.0000, 0.0000)  4 Br 3.34
Ba (0.5000, 0.5000, 0.5000)  4 Br 3.34

=====

(3)
A relaxed structure of BaMn2Br, computed with PBE.

Calculated values
VASP energy = -5.2151 eV/atom
energy relative to the elements, uncorrected = 0.269 eV per atom
energy above the lowest structure with this stoichiometry = 235 meV/atom
magnetic moment = 8.78 μB/cell

abc: 3.8354 4.9530 6.3599
angles: 90.00 90.00 90.00
With the nearest neighbours (Å) after each atom.
Fractional coordinates of all 4 atoms:
Ba (0.5000, 0.0000, 0.5000)  4 Br 3.13
Mn (0.0000, 0.0000, 0.0000)  4 Mn 3.13
Br (0.0000, 0.5000, 0.5000)  4 Ba 3.13
Mn (0.5000, 0.5000, 0.0000)  4 Mn 3.13

=====

(4)
A relaxed structure of BaMn2Br, computed with PBE.

Calculated values
VASP energy = -5.2198 eV/atom
energy relative to the elements, uncorrected = 0.264 eV per atom
energy above the lowest structure with this stoichiometry = 230 meV/atom
magnetic moment = 17.34 μB/cell

abc: 4.3739 4.3739 13.0955
angles: 80.39 80.39 90.00
With the nearest neighbours (Å) after each atom.
Fractional coordinates of all 8 atoms:
Mn (0.6229, 0.1250, 0.2500)  4 Mn 3.08-3.11
Mn (0.8750, 0.8729, 0.7500)  4 Mn 3.08-3.11
Mn (0.3750, 0.3771, 0.7500)  4 Mn 3.08-3.11
Ba (0.7500, 0.2500, 0.5000)  4 Br 3.09
Mn (0.1271, 0.6250, 0.2500)  4 Mn 3.08-3.11
Ba (0.0000, 0.0000, 0.0000)  4 Br 3.09
Br (0.2500, 0.7500, 0.5000)  4 Ba 3.09
Br (0.5000, 0.5000, 0.0000)  4 Ba 3.09

=====

(5)
A relaxed structure of BaMnBr2, computed with PBE.

Calculated values
VASP energy = -4.3311 eV/atom
energy relative to the elements, uncorrected = -0.722 eV per atom
energy above the lowest structure with this stoichiometry = 71 meV/atom
magnetic moment = 5.00 μB/cell

abc: 5.6234 5.6234 5.6234
angles: 60.00 60.00 60.00
With the nearest neighbours (Å) after each atom.
Fractional coordinates of all 4 atoms:
Ba (0.5000, 0.5000, 0.5000)  8 Br 3.44
Br (0.7500, 0.7500, 0.7500)  4 Ba 3.44, 4 Mn 3.44
Br (0.2500, 0.2500, 0.2500)  4 Ba 3.44, 4 Mn 3.44
Mn (0.0000, 0.0000, 0.0000)  8 Br 3.44

=====

(6)
A relaxed structure of BaMn2Br, computed with PBE.

Calculated values
VASP energy = -5.1375 eV/atom
energy relative to the elements, uncorrected = 0.346 eV per atom
energy above the lowest structure with this stoichiometry = 313 meV/atom
magnetic moment = 7.97 μB/cell

abc: 6.1931 6.1931 6.1931
angles: 145.78 120.83 70.16
With the nearest neighbours (Å) after each atom.
Fractional coordinates of all 4 atoms:
Mn (0.8079, 0.3079, 0.5000)  2 Mn 2.71
Ba (0.4900, 0.4900, 0.0000)  4 Br 3.50-3.70, 8 Mn 3.56-3.70, 2 Ba 3.64
Mn (0.0064, 0.0064, 0.0000)  2 Br 2.65, 2 Mn 2.71
Br (0.1957, 0.6957, 0.5000)  2 Mn 2.65

=====

(7)
A relaxed structure of BaMnBr6, computed with PBE.

Calculated values
VASP energy = -3.7481 eV/atom
energy relative to the elements, uncorrected = -1.107 eV per atom
magnetic moment = 3.00 μB/cell

abc: 6.7641 8.2438 6.8046
angles: 52.72 75.08 64.84
With the nearest neighbours (Å) after each atom.
Fractional coordinates of all 8 atoms:
Br (0.2168, 0.7824, 0.6778)  1 Mn 2.47
Br (0.7832, 0.5399, 0.6778)  1 Mn 2.47
Ba (0.0000, 0.0000, 0.0000)  6 Br 3.32-3.33
Br (0.7832, 0.2176, 0.3222)  1 Mn 2.47
Br (0.2168, 0.4601, 0.3222)  1 Mn 2.47
Br (0.4578, 0.2169, 0.0000)  1 Mn 2.47
Mn (0.5000, 0.5000, 0.0000)  6 Br 2.47
Br (0.5422, 0.7831, 0.0000)  1 Mn 2.47

=====

(8)
A relaxed structure of BaMnBr2, computed with PBE.

Calculated values
VASP energy = -4.3118 eV/atom
energy relative to the elements, uncorrected = -0.702 eV per atom
energy above the lowest structure with this stoichiometry = 90 meV/atom
magnetic moment = 5.00 μB/cell

abc: 7.4283 7.4283 7.4283
angles: 147.38 139.70 52.77
With the nearest neighbours (Å) after each atom.
Fractional coordinates of all 4 atoms:
Br (0.7608, 0.2608, 0.5000)  4 Ba 3.33
Ba (0.2286, 0.7286, 0.5000)  6 Br 3.30-3.33
Mn (0.4742, 0.4742, 0.0000)  4 Br 3.40
Br (0.0364, 0.0364, 0.0000)  2 Ba 3.30, 4 Mn 3.40

=====

(9)
A relaxed structure of BaMnBr3, computed with PBE.

Calculated values
VASP energy = -4.3268 eV/atom
energy relative to the elements, uncorrected = -1.105 eV per atom
energy above the lowest structure with this stoichiometry = 0 meV/atom
magnetic moment = 4.17 μB/cell

abc: 5.2958 5.2958 5.2958
angles: 90.00 90.00 90.00
With the nearest neighbours (Å) after each atom.
Fractional coordinates of all 5 atoms:
Br (0.5000, 0.0000, 0.0000)  2 Mn 2.65
Br (0.0000, 0.0000, 0.5000)  2 Mn 2.65
Ba (0.5000, 0.5000, 0.5000)  12 Br 3.74
Br (0.0000, 0.5000, 0.0000)  2 Mn 2.65
Mn (0.0000, 0.0000, 0.0000)  6 Br 2.65

=====

(10)
A relaxed structure of BaMnBr2, computed with PBE.

Calculated values
VASP energy = -4.2039 eV/atom
energy relative to the elements, uncorrected = -0.594 eV per atom
energy above the lowest structure with this stoichiometry = 198 meV/atom
magnetic moment = 6.53 μB/cell

abc: 6.4787 6.4787 8.3376
angles: 67.14 67.14 90.00
With the nearest neighbours (Å) after each atom.
Fractional coordinates of all 8 atoms:
Br (0.8750, 0.7793, 0.7500)  2 Mn 2.58
Br (0.3750, 0.4707, 0.7500)  2 Mn 2.58
Mn (0.5000, 0.5000, 0.0000)  4 Br 2.58
Br (0.5293, 0.1250, 0.2500)  2 Mn 2.58
Mn (0.2500, 0.7500, 0.5000)  4 Br 2.58
Ba (0.7500, 0.2500, 0.5000)  4 Br 3.27
Br (0.2207, 0.6250, 0.2500)  2 Mn 2.58
Ba (0.0000, 0.0000, 0.0000)  4 Br 3.27

=====

(11)
A relaxed structure of BaMnBr2, computed with PBE.

Calculated values
VASP energy = -4.2853 eV/atom
energy relative to the elements, uncorrected = -0.676 eV per atom
energy above the lowest structure with this stoichiometry = 117 meV/atom
magnetic moment = 5.03 μB/cell

abc: 4.2023 4.2023 7.3621
angles: 90.00 90.00 90.07
With the nearest neighbours (Å) after each atom.
Fractional coordinates of all 4 atoms:
Br (0.0000, 0.0000, 0.5122)  4 Ba 3.45, 2 Br 3.50-3.86, 4 Mn 3.54
Ba (0.5000, 0.5000, 0.7500)  8 Br 3.45, 2 Mn 3.68
Br (0.0000, 0.0000, 0.9878)  4 Ba 3.45, 2 Br 3.50-3.86, 4 Mn 3.54
Mn (0.5000, 0.5000, 0.2500)  8 Br 3.54, 2 Ba 3.68

=====

(12)
A relaxed structure of BaMnBr2, computed with PBE.

Calculated values
VASP energy = -4.3286 eV/atom
energy relative to the elements, uncorrected = -0.719 eV per atom
energy above the lowest structure with this stoichiometry = 73 meV/atom
magnetic moment = 4.97 μB/cell

abc: 5.2644 5.2621 4.4168
angles: 90.00 90.00 90.00
With the nearest neighbours (Å) after each atom.
Fractional coordinates of all 4 atoms:
Mn (0.5000, 0.0000, 0.5000)  8 Br 3.44, 4 Ba 3.72
Br (0.5000, 0.5000, 0.0000)  4 Mn 3.44, 4 Ba 3.44, 4 Br 3.72
Br (0.0000, 0.0000, 0.0000)  4 Ba 3.44, 4 Mn 3.44, 4 Br 3.72
Ba (0.0000, 0.5000, 0.5000)  8 Br 3.44, 4 Mn 3.72

=====

(13)
A relaxed structure of BaMn2Br, computed with PBE.

Calculated values
VASP energy = -5.0053 eV/atom
energy relative to the elements, uncorrected = 0.478 eV per atom
energy above the lowest structure with this stoichiometry = 445 meV/atom
magnetic moment = 9.01 μB/cell

abc: 3.9035 3.9035 7.5190
angles: 90.00 90.00 90.00
With the nearest neighbours (Å) after each atom.
Fractional coordinates of all 4 atoms:
Mn (0.0000, 0.0000, 0.5650)  1 Mn 2.78, 4 Br 3.09
Mn (0.0000, 0.0000, 0.9350)  1 Mn 2.78, 4 Br 3.09
Br (0.5000, 0.5000, 0.7500)  8 Mn 3.09
Ba (0.5000, 0.5000, 0.2500)  8 Mn 3.64, 2 Br 3.76, 4 Ba 3.90

=====

(14)
A relaxed structure of BaMnBr2, computed with PBE.

Calculated values
VASP energy = -4.2863 eV/atom
energy relative to the elements, uncorrected = -0.677 eV per atom
energy above the lowest structure with this stoichiometry = 116 meV/atom
magnetic moment = 5.03 μB/cell

abc: 4.2348 4.2051 8.1089
angles: 64.53 90.00 90.00
With the nearest neighbours (Å) after each atom.
Fractional coordinates of all 4 atoms:
Br (0.0000, 0.4476, 0.5119)  2 Mn 3.35, 4 Ba 3.46, 1 Br 3.49
Mn (0.5000, 0.2500, 0.2500)  4 Br 3.35, 2 Ba 3.68
Ba (0.5000, 0.7500, 0.7500)  8 Br 3.46, 2 Mn 3.68
Br (0.0000, 0.0524, 0.9881)  2 Mn 3.35, 4 Ba 3.46, 1 Br 3.49

=====

(15)
A relaxed structure of BaMnBr3, computed with PBE.

Calculated values
VASP energy = -3.9851 eV/atom
energy relative to the elements, uncorrected = -0.763 eV per atom
energy above the lowest structure with this stoichiometry = 342 meV/atom
magnetic moment = 6.00 μB/cell

abc: 6.2802 6.2802 6.2802
angles: 90.00 90.00 90.00
With the nearest neighbours (Å) after each atom.
Fractional coordinates of all 5 atoms:
Br (0.0000, 0.0000, 0.5000)  2 Ba 3.14
Br (0.0000, 0.5000, 0.0000)  2 Ba 3.14
Mn (0.5000, 0.5000, 0.5000)  12 Br 4.44
Ba (0.0000, 0.0000, 0.0000)  6 Br 3.14
Br (0.5000, 0.0000, 0.0000)  2 Ba 3.14

=====

(16)
A relaxed structure of BaMnBr2, computed with PBE.

Calculated values
VASP energy = -4.4021 eV/atom
energy relative to the elements, uncorrected = -0.793 eV per atom
energy above the lowest structure with this stoichiometry = 0 meV/atom
magnetic moment = 4.99 μB/cell

abc: 4.4101 5.0334 6.7368
angles: 65.14 90.00 90.00
With the nearest neighbours (Å) after each atom.
Fractional coordinates of all 4 atoms:
Br (0.0000, 0.0023, 0.9488)  1 Mn 2.75
Mn (0.0000, 0.6168, 0.3838)  3 Br 2.75-2.78
Br (0.5000, 0.2897, 0.3685)  2 Mn 2.78
Ba (0.5000, 0.5913, 0.7989)  7 Br 3.45-3.80, 2 Mn 3.52

=====

(17)
A relaxed structure of BaMn3Br, computed with PBE.

Calculated values
VASP energy = -4.5017 eV/atom
energy relative to the elements, uncorrected = 1.719 eV per atom
energy above the lowest structure with this stoichiometry = 860 meV/atom
magnetic moment = 14.00 μB/cell

abc: 6.3603 6.3603 6.3603
angles: 90.00 90.00 90.00
With the nearest neighbours (Å) after each atom.
Fractional coordinates of all 5 atoms:
Mn (0.0000, 0.0000, 0.5000)  2 Ba 3.18
Ba (0.0000, 0.0000, 0.0000)  6 Mn 3.18
Mn (0.0000, 0.5000, 0.0000)  2 Ba 3.18
Mn (0.5000, 0.0000, 0.0000)  2 Ba 3.18
Br (0.5000, 0.5000, 0.5000)  12 Mn 4.50

=====

(18)
A relaxed structure of BaMnBr2, computed with PBE.

Calculated values
VASP energy = -4.0580 eV/atom
energy relative to the elements, uncorrected = -0.448 eV per atom
energy above the lowest structure with this stoichiometry = 344 meV/atom
magnetic moment = 5.00 μB/cell

abc: 5.6972 5.6972 5.6972
angles: 60.00 60.00 60.00
With the nearest neighbours (Å) after each atom.
Fractional coordinates of all 4 atoms:
Br (0.0000, 0.0000, 0.0000)  4 Mn 3.49, 4 Br 3.49
Br (0.2500, 0.2500, 0.2500)  4 Br 3.49, 4 Ba 3.49
Ba (0.5000, 0.5000, 0.5000)  4 Mn 3.49, 4 Br 3.49
Mn (0.7500, 0.7500, 0.7500)  4 Ba 3.49, 4 Br 3.49

=====

(19)
A relaxed structure of BaMnBr, computed with PBE.

Calculated values
VASP energy = -4.4034 eV/atom
energy relative to the elements, uncorrected = -0.148 eV per atom
energy above the lowest structure with this stoichiometry = 50 meV/atom
magnetic moment = 4.21 μB/cell

abc: 5.1874 5.1874 4.1180
angles: 90.00 90.00 120.00
With the nearest neighbours (Å) after each atom.
Fractional coordinates of all 3 atoms:
Br (0.6667, 0.3333, 0.5006)  3 Mn 2.99
Mn (0.3333, 0.6667, 0.4994)  3 Br 2.99
Ba (0.0000, 0.0000, 0.0000)  6 Mn 3.63-3.64, 6 Br 3.63-3.64

=====

(20)
A relaxed structure of BaMn2Br, computed with PBE.

Calculated values
VASP energy = -5.0256 eV/atom
energy relative to the elements, uncorrected = 0.458 eV per atom
energy above the lowest structure with this stoichiometry = 425 meV/atom
magnetic moment = 8.86 μB/cell

abc: 6.2801 6.2801 3.8218
angles: 90.00 90.00 121.91
With the nearest neighbours (Å) after each atom.
Fractional coordinates of all 4 atoms:
Mn (0.0000, 0.0000, 0.0000)  2 Mn 3.05
Br (0.0000, 0.5000, 0.5000)  2 Ba 3.05
Mn (0.5000, 0.5000, 0.0000)  2 Mn 3.05
Ba (0.5000, 0.0000, 0.5000)  2 Br 3.05